Entry 1:
Material: Nd3CoRh
Method: DFT, GGA-PBE
State: relaxed Values from VASP.

Computed properties:
Energy above the most stable polymorph in this dataset in meV per atom: 0.0
Space-group type: P2_1/m, No. 11
Formation energy in eV/atom: -0.324
E in eV/f.u.: -30.38

The structure in Quantum ESPRESSO input format:
```
&SYSTEM
  ibrav = 0, nat = 10, ntyp = 3
/
ATOMIC_SPECIES
Nd 144.24 Nd.upf
Co 58.93 Co.upf
Rh 102.91 Rh.upf
CELL_PARAMETERS angstrom
8.215 0.000 0.000
0.000 3.981 0.000
-3.313 0.000 7.631
ATOMIC_POSITIONS angstrom
Nd -0.087 0.995 1.416
Nd -0.085 2.986 4.424
Nd 2.867 2.986 1.006
Nd 2.035 0.995 6.625
Nd 4.987 0.995 3.207
Nd 4.989 2.986 6.215
Co 2.141 0.995 3.422
Co 2.761 2.986 4.209
Rh -1.039 0.995 6.423
Rh 5.941 2.986 1.208
```

***

Entry 2:
Material: Er6ZnHg5
Method: DFT, GGA-PBE
State: relaxed Values from VASP.

Computed properties:
Space-group type: Cmmm, No. 65
Formation energy in eV/atom: -0.455
E in eV/f.u.: -35.62

The structure in Quantum ESPRESSO input format:
```
&SYSTEM
  ibrav = 0, nat = 12, ntyp = 3
/
ATOMIC_SPECIES
Er 167.26 Er.upf
Zn 65.41 Zn.upf
Hg 200.59 Hg.upf
CELL_PARAMETERS angstrom
2.587 -7.799 0.000
2.587 7.799 0.000
0.000 0.000 7.339
ATOMIC_POSITIONS angstrom
Er 0.000 0.000 1.798
Er 0.000 0.000 5.541
Er 2.587 2.568 1.809
Er 2.587 2.568 5.530
Er 2.587 -2.568 1.809
Er 2.587 -2.568 5.530
Zn 2.587 0.000 0.000
Hg 2.587 5.250 0.000
Hg 2.587 5.203 3.670
Hg 2.587 0.000 3.670
Hg 2.587 -5.203 3.670
Hg 2.587 -5.250 0.000
```

***

Entry 3:
Material: Ni2HgMo
Method: DFT, GGA-PBE
State: relaxed Values from VASP.

Computed properties:
Space-group type: P2/m, No. 10
Formation energy in eV/atom: 0.180
E in eV/f.u.: -21.98

The structure in Quantum ESPRESSO input format:
```
&SYSTEM
  ibrav = 0, nat = 4, ntyp = 3
/
ATOMIC_SPECIES
Ni 58.69 Ni.upf
Hg 200.59 Hg.upf
Mo 95.94 Mo.upf
CELL_PARAMETERS angstrom
2.779 0.000 0.000
0.000 3.524 0.000
-0.009 0.000 6.012
ATOMIC_POSITIONS angstrom
Ni 0.001 0.000 1.272
Ni 2.769 0.000 4.740
Hg 1.385 1.762 3.006
Mo 1.389 1.762 0.000
```

***

Entry 4:
Material: CrHgPd2N
Method: DFT, GGA-PBE
State: relaxed Values from VASP.

Computed properties:
Formation energy (no corrections) in eV/atom: -0.011
Space-group type: P4/mmm, No. 123
E in eV/f.u.: -28.69

The structure in Quantum ESPRESSO input format:
```
&SYSTEM
  ibrav = 0, nat = 5, ntyp = 4
/
ATOMIC_SPECIES
Cr 52.00 Cr.upf
Hg 200.59 Hg.upf
Pd 106.42 Pd.upf
N 14.01 N.upf
CELL_PARAMETERS angstrom
4.420 0.000 0.000
0.000 4.420 0.000
0.000 0.000 3.779
ATOMIC_POSITIONS angstrom
Cr 0.000 0.000 0.000
Hg 2.210 2.210 0.000
Pd 0.000 2.210 1.890
Pd 2.210 0.000 1.890
N 0.000 0.000 1.890
```

***

Entry 5:
Material: TbThZn2
Method: DFT, GGA-PBE
State: relaxed Values from VASP.

Computed properties:
Space-group type: P4/mmm, No. 123
Formation energy in eV/atom: -0.253
E in eV/f.u.: -15.61

The structure in Quantum ESPRESSO input format:
```
&SYSTEM
  ibrav = 0, nat = 4, ntyp = 3
/
ATOMIC_SPECIES
Tb 158.93 Tb.upf
Th 232.04 Th.upf
Zn 65.41 Zn.upf
CELL_PARAMETERS angstrom
3.600 0.000 0.000
0.000 3.600 0.000
0.000 0.000 7.335
ATOMIC_POSITIONS angstrom
Tb 0.000 0.000 0.000
Th 0.000 0.000 3.667
Zn 1.800 1.800 1.721
Zn 1.800 1.800 5.613
```

***

Entry 6:
Material: NbSiBiOs2
Method: DFT, GGA-PBE
State: relaxed Values from VASP.

Computed properties:
Formation energy (no corrections) in eV/atom: 2.711
Space-group type: P4/mmm, No. 123
E in eV/f.u.: -28.28

The structure in Quantum ESPRESSO input format:
```
&SYSTEM
  ibrav = 0, nat = 5, ntyp = 4
/
ATOMIC_SPECIES
Nb 92.91 Nb.upf
Si 28.09 Si.upf
Bi 208.98 Bi.upf
Os 190.23 Os.upf
CELL_PARAMETERS angstrom
4.895 0.000 0.000
0.000 4.895 0.000
0.000 0.000 5.026
ATOMIC_POSITIONS angstrom
Nb 0.000 0.000 0.000
Si 2.448 2.448 0.000
Bi 2.448 2.448 2.513
Os 0.000 2.448 2.513
Os 2.448 0.000 2.513
```

***

Entry 7:
Material: LiDy2PaP4
Method: DFT, GGA-PBE
State: relaxed Values from VASP.

Computed properties:
Space-group type: P2/m, No. 10
Formation energy in eV/atom: -1.182
E in eV/f.u.: -51.71

The structure in Quantum ESPRESSO input format:
```
&SYSTEM
  ibrav = 0, nat = 8, ntyp = 4
/
ATOMIC_SPECIES
Li 6.94 Li.upf
Dy 162.50 Dy.upf
Pa 231.04 Pa.upf
P 30.97 P.upf
CELL_PARAMETERS angstrom
6.748 0.000 0.000
0.000 4.032 0.000
-2.196 0.000 6.544
ATOMIC_POSITIONS angstrom
Li 0.000 0.000 0.000
Dy -1.098 2.016 3.272
Dy 2.276 0.000 3.272
Pa 3.374 2.016 0.000
P 0.037 0.000 4.958
P 1.217 2.016 1.611
P 3.334 2.016 4.933
P 4.514 0.000 1.586
```

***

Entry 8:
Material: NdFe3Ge3
Method: DFT, GGA-PBE
State: relaxed Values from VASP.

Computed properties:
Energy above the most stable polymorph in this dataset in meV per atom: 0.0
Space-group type: P6_3/m, No. 176
Formation energy in eV/atom: -0.260
E in eV/f.u.: -45.83

The structure in Quantum ESPRESSO input format:
```
&SYSTEM
  ibrav = 0, nat = 14, ntyp = 3
/
ATOMIC_SPECIES
Nd 144.24 Nd.upf
Fe 55.84 Fe.upf
Ge 72.64 Ge.upf
CELL_PARAMETERS angstrom
8.328 0.000 0.000
-4.164 7.213 0.000
0.000 0.000 4.073
ATOMIC_POSITIONS angstrom
Nd 0.000 4.808 1.018
Nd 4.164 2.404 3.055
Fe -0.375 1.398 1.018
Fe -2.766 6.838 1.018
Fe 1.023 1.023 3.055
Fe 3.141 6.189 1.018
Fe 6.931 0.374 3.055
Fe 4.539 5.815 3.055
Ge -0.807 2.696 3.055
Ge -1.426 6.563 3.055
Ge 1.932 2.047 1.018
Ge 2.232 5.166 3.055
Ge 5.590 0.650 1.018
Ge 4.971 4.516 1.018
```

***

Entry 9:
Material: LaC3
Method: DFT, GGA-PBE
State: relaxed Values from VASP.

Computed properties:
Energy above the most stable polymorph in this dataset in meV per atom: 0.0
Space-group type: I4/mmm, No. 139
Formation energy in eV/atom: 0.401
E in eV/f.u.: -31.00

The structure in Quantum ESPRESSO input format:
```
&SYSTEM
  ibrav = 0, nat = 4, ntyp = 2
/
ATOMIC_SPECIES
La 138.91 La.upf
C 12.01 C.upf
CELL_PARAMETERS angstrom
-1.985 1.985 3.857
1.985 -1.985 3.857
1.985 1.985 -3.857
ATOMIC_POSITIONS angstrom
La 0.000 0.000 0.000
C 0.000 0.000 2.530
C 0.000 0.000 3.857
C 0.000 0.000 5.185
```

***

Entry 10:
Material: SrCoSbI2
Method: DFT, GGA-PBE
State: relaxed Values from VASP.

Computed properties:
Energy above the most stable polymorph in this dataset in meV per atom: 838.3
Formation energy (no corrections) in eV/atom: 0.548
Space-group type: P4/mmm, No. 123
E in eV/f.u.: -13.27

The structure in Quantum ESPRESSO input format:
```
&SYSTEM
  ibrav = 0, nat = 5, ntyp = 4
/
ATOMIC_SPECIES
Sr 87.62 Sr.upf
Co 58.93 Co.upf
Sb 121.76 Sb.upf
I 126.90 I.upf
CELL_PARAMETERS angstrom
6.245 0.000 0.000
0.000 6.245 0.000
0.000 0.000 6.659
ATOMIC_POSITIONS angstrom
Sr 0.000 0.000 0.000
Co 3.123 3.123 3.329
Sb 0.000 0.000 3.329
I 0.000 3.123 0.000
I 3.123 0.000 0.000
```

***

Entry 11:
Material: YMgInPb
Method: DFT, GGA-PBE
State: relaxed Values from VASP.

Computed properties:
Energy above the most stable polymorph in this dataset in meV per atom: 0.0
Space-group type: Pmmm, No. 47
Formation energy in eV/atom: -0.374
E in eV/f.u.: -16.00

The structure in Quantum ESPRESSO input format:
```
&SYSTEM
  ibrav = 0, nat = 4, ntyp = 4
/
ATOMIC_SPECIES
Y 88.91 Y.upf
Mg 24.30 Mg.upf
In 114.82 In.upf
Pb 207.20 Pb.upf
CELL_PARAMETERS angstrom
4.495 0.000 0.000
0.000 4.692 0.000
0.000 0.000 4.862
ATOMIC_POSITIONS angstrom
Y 0.000 0.000 0.000
Mg 0.000 2.346 2.431
In 2.247 0.000 2.431
Pb 2.247 2.346 0.000
```

***

Entry 12:
Material: BeAl3Tc
Method: DFT, GGA-PBE
State: relaxed Values from VASP.

Computed properties:
Energy above the most stable polymorph in this dataset in meV per atom: 939.4
Space-group type: Pm-3m, No. 221
Formation energy in eV/atom: 0.679
E in eV/f.u.: -21.92

The structure in Quantum ESPRESSO input format:
```
&SYSTEM
  ibrav = 0, nat = 5, ntyp = 3
/
ATOMIC_SPECIES
Be 9.01 Be.upf
Al 26.98 Al.upf
Tc 98.00 Tc.upf
CELL_PARAMETERS angstrom
4.229 0.000 0.000
0.000 4.229 0.000
0.000 0.000 4.229
ATOMIC_POSITIONS angstrom
Be 0.000 0.000 0.000
Al 0.000 0.000 2.114
Al 0.000 2.114 0.000
Al 2.114 0.000 0.000
Tc 2.114 2.114 2.114
```